Entry 1:
Entry from Alexandria: a relaxed structure of HfNbAl2N (GGA-PBEsol).

Cell lengths 4.736, 5.164, 5.164 Å; angles 90.00, 90.00, 90.00 degrees
Atoms (fractional coordinates):
1 Nb 0.500 0.000 0.000
2 N 0.500 0.500 0.500
3 Hf 0.000 0.000 0.000
4 Al 0.000 0.500 0.000
5 Al 0.000 0.000 0.500

* energy relative to the elements, uncorrected: 11.46 eV/f.u.
* E: -26.57 eV per cell
* V: 126.3 Å³/cell


Entry 2:
Entry from Alexandria: a relaxed structure of HfAlRuN2 (GGA-PBEsol).

Cell lengths 4.035, 4.035, 5.128 Å; angles 90.00, 90.00, 90.00 degrees
Atoms (fractional coordinates):
1 Hf 0.000 0.000 0.000
2 Ru 0.000 0.000 0.500
3 N 0.500 0.000 0.000
4 N 0.000 0.500 0.000
5 Al 0.500 0.500 0.500

* energy relative to the elements, uncorrected: 4.46 eV/f.u.
* E: -37.36 eV per cell
* V: 83.5 Å³/cell


Entry 3:
Entry from Alexandria: a relaxed structure of NaHf2Al (GGA-PBEsol).

Cell lengths 4.098, 4.098, 11.008 Å; angles 100.73, 100.73, 90.00 degrees
Atoms (fractional coordinates):
1 Hf 0.358 0.875 0.250
2 Hf 0.625 0.642 0.750
3 Hf 0.125 0.108 0.750
4 Hf 0.892 0.375 0.250
5 Al 0.250 0.750 0.500
6 Al 0.000 0.000 0.000
7 Na 0.750 0.250 0.500
8 Na 0.500 0.500 0.000

* E: -46.99 eV per cell
* energy of formation from the pure elements: 0.75 eV/atom
* V: 178.3 Å³/cell


Entry 4:
Entry from Alexandria: a relaxed structure of NaHfAl2 (GGA-PBEsol).

Cell lengths 4.776, 4.776, 4.776 Å; angles 60.00, 60.00, 60.00 degrees
Atoms (fractional coordinates):
1 Na 0.000 0.000 0.000
2 Al 0.750 0.750 0.750
3 Al 0.250 0.250 0.250
4 Hf 0.500 0.500 0.500

* E: -19.37 eV per cell
* energy of formation from the pure elements: 0.18 eV/atom
* V: 77.0 Å³/cell


Entry 5:
Entry from Alexandria: a relaxed structure of HfNb3Al (GGA-PBEsol).

Cell lengths 4.821, 4.821, 4.821 Å; angles 90.00, 90.00, 90.00 degrees
Atoms (fractional coordinates):
1 Nb 0.000 0.000 0.500
2 Nb 0.000 0.500 0.000
3 Nb 0.500 0.000 0.000
4 Al 0.500 0.500 0.500
5 Hf 0.000 0.000 0.000

* E: -39.21 eV per cell
* energy of formation from the pure elements: 1.57 eV/atom
* V: 112.0 Å³/cell


Entry 6:
Entry from Alexandria: a relaxed structure of HfTiNbAl2 (GGA-PBEsol).

Cell lengths 4.792, 4.865, 4.865 Å; angles 90.00, 90.00, 90.00 degrees
Atoms (fractional coordinates):
1 Al 0.000 0.500 0.000
2 Al 0.000 0.000 0.500
3 Ti 0.500 0.500 0.500
4 Nb 0.000 0.000 0.000
5 Hf 0.500 0.000 0.000

* E: -32.91 eV per cell
* energy of formation from the pure elements: 0.98 eV/atom
* V: 113.4 Å³/cell


Entry 7:
Entry from Alexandria: a relaxed structure of HfAl2Ni2 (GGA-PBEsol).

Cell lengths 3.769, 3.769, 5.756 Å; angles 109.11, 109.11, 90.00 degrees
Atoms (fractional coordinates):
1 Ni 0.250 0.750 0.500
2 Ni 0.750 0.250 0.500
3 Hf 0.000 0.000 0.000
4 Al 0.380 0.380 0.760
5 Al 0.620 0.620 0.240

* E: -32.84 eV per cell
* energy of formation from the pure elements: -0.37 eV/atom
* V: 72.5 Å³/cell


Entry 8:
Entry from Alexandria: a relaxed structure of HfAl3O (GGA-PBEsol).

Cell lengths 5.251, 5.251, 5.251 Å; angles 90.00, 90.00, 90.00 degrees
Atoms (fractional coordinates):
1 Hf 0.000 0.000 0.000
2 Al 0.000 0.500 0.000
3 Al 0.000 0.000 0.500
4 Al 0.500 0.000 0.000
5 O 0.500 0.500 0.500

* energy relative to the elements, uncorrected: 7.81 eV/f.u.
* E: -20.22 eV per cell
* V: 144.8 Å³/cell


Entry 9:
Entry from Alexandria: a relaxed structure of Hf6Al16Os7 (GGA-PBEsol).

Cell lengths 8.639, 8.639, 8.639 Å; angles 60.00, 60.00, 60.00 degrees
Atoms (fractional coordinates):
1 Os 0.500 0.500 0.000
2 Os 0.500 0.000 0.000
3 Os 0.500 0.500 0.500
4 Os 0.000 0.500 0.500
5 Os 0.000 0.000 0.500
6 Os 0.000 0.500 0.000
7 Os 0.500 0.000 0.500
8 Al 0.163 0.163 0.511
9 Al 0.163 0.511 0.163
10 Al 0.620 0.620 0.620
11 Al 0.620 0.141 0.620
12 Al 0.859 0.380 0.380
13 Al 0.380 0.380 0.380
14 Al 0.511 0.163 0.163
15 Al 0.489 0.837 0.837
16 Al 0.837 0.489 0.837
17 Al 0.837 0.837 0.837
18 Al 0.380 0.859 0.380
19 Al 0.620 0.620 0.141
20 Al 0.837 0.837 0.489
21 Al 0.163 0.163 0.163
22 Al 0.380 0.380 0.859
23 Al 0.141 0.620 0.620
24 Hf 0.207 0.207 0.793
25 Hf 0.207 0.793 0.207
26 Hf 0.207 0.793 0.793
27 Hf 0.793 0.207 0.793
28 Hf 0.793 0.793 0.207
29 Hf 0.793 0.207 0.207

* E: -229.24 eV per cell
* energy of formation from the pure elements: -0.53 eV/atom
* V: 455.9 Å³/cell


Entry 10:
Entry from Alexandria: a relaxed structure of Hf2AlOsS (GGA-PBEsol).

Cell lengths 4.058, 4.960, 4.960 Å; angles 90.00, 90.00, 90.00 degrees
Atoms (fractional coordinates):
1 Hf 0.000 0.000 0.500
2 Hf 0.000 0.500 0.000
3 S 0.500 0.000 0.000
4 Os 0.500 0.500 0.500
5 Al 0.000 0.000 0.000

* energy relative to the elements, uncorrected: 6.22 eV/f.u.
* E: -35.48 eV per cell
* V: 99.8 Å³/cell


Entry 11:
Entry from Alexandria: a relaxed structure of Hf2AlPb2 (GGA-PBEsol).

Cell lengths 4.111, 4.111, 7.812 Å; angles 105.26, 105.26, 90.00 degrees
Atoms (fractional coordinates):
1 Hf 0.594 0.594 0.189
2 Hf 0.406 0.406 0.811
3 Al 0.000 0.000 0.000
4 Pb 0.250 0.750 0.500
5 Pb 0.750 0.250 0.500

* E: -30.77 eV per cell
* energy of formation from the pure elements: 0.47 eV/atom
* V: 122.5 Å³/cell


Entry 12:
Entry from Alexandria: a relaxed structure of HfAlPbW2 (GGA-PBEsol).

Cell lengths 4.584, 4.584, 4.879 Å; angles 90.00, 90.00, 90.00 degrees
Atoms (fractional coordinates):
1 Pb 0.500 0.500 0.500
2 Al 0.000 0.000 0.000
3 W 0.000 0.500 0.000
4 W 0.500 0.000 0.000
5 Hf 0.000 0.000 0.500

* E: -38.90 eV per cell
* energy of formation from the pure elements: 1.46 eV/atom
* V: 102.5 Å³/cell